[1]
Entry from Alexandria: K2BaCl after structural relaxation (GGA-PBEsol).

* uncorrected formation energy: -0.544 eV/atom
* raw total energy: -2.15 eV/atom
* density: 2.14 g/cm³

a b c (Å): 4.951 4.951 7.962
angles (deg): 90.00 90.00 90.00
Atoms (fractional coordinates):
1 K 0.000 0.500 0.000
2 K 0.500 0.000 0.000
3 Ba 0.000 0.000 0.500
4 Cl 0.500 0.500 0.500

***

[2]
Entry from Alexandria: K2BaCl after structural relaxation (GGA-PBEsol).

* uncorrected formation energy: -0.849 eV/atom
* raw total energy: -2.45 eV/atom
* density: 2.15 g/cm³

a b c (Å): 12.147 12.147 12.147
angles (deg): 20.58 20.58 20.58
Atoms (fractional coordinates):
1 K 0.000 0.000 0.000
2 K 0.223 0.223 0.223
3 Ba 0.448 0.448 0.448
4 Cl 0.721 0.721 0.721

***

[3]
Entry from Alexandria: KBaCl2 after structural relaxation (GGA-PBEsol).

* uncorrected formation energy: -1.618 eV/atom
* raw total energy: -3.44 eV/atom
* density: 3.70 g/cm³

a b c (Å): 5.394 5.394 5.394
angles (deg): 60.00 60.00 60.00
Atoms (fractional coordinates):
1 K 0.000 0.000 0.000
2 Ba 0.500 0.500 0.500
3 Cl 0.250 0.250 0.250
4 Cl 0.750 0.750 0.750

***

[4]
Entry from Alexandria: KBaP2Cl after structural relaxation (GGA-PBEsol).

* uncorrected formation energy: -0.013 eV/atom
* raw total energy: -3.39 eV/atom
* density: 2.01 g/cm³

a b c (Å): 6.196 6.196 5.883
angles (deg): 90.00 90.00 90.00
Atoms (fractional coordinates):
1 K 0.000 0.000 0.000
2 Ba 0.500 0.500 0.500
3 P 0.000 0.500 0.500
4 P 0.500 0.000 0.500
5 Cl 0.500 0.500 0.000

***

[5]
Entry from Alexandria: Ba2LaCl after structural relaxation (GGA-PBEsol).

* uncorrected formation energy: -0.458 eV/atom
* raw total energy: -3.37 eV/atom
* density: 4.40 g/cm³

a b c (Å): 7.346 7.346 7.346
angles (deg): 149.08 122.63 66.60
Atoms (fractional coordinates):
1 Ba 0.199 0.199 0.000
2 Ba 0.801 0.801 0.000
3 La 0.500 0.000 0.500
4 Cl 0.000 0.500 0.500

***

[6]
Entry from Alexandria: Ba3LaCl9 after structural relaxation (GGA-PBEsol).

* uncorrected formation energy: -2.447 eV/atom
* raw total energy: -4.74 eV/atom
* density: 3.75 g/cm³

a b c (Å): 11.615 7.083 18.750
angles (deg): 90.00 90.00 90.00
Atoms (fractional coordinates):
1 Ba 0.063 0.250 0.085
2 Ba 0.147 0.250 0.520
3 Ba 0.234 0.250 0.832
4 Ba 0.266 0.750 0.332
5 Ba 0.353 0.750 0.020
6 Ba 0.437 0.750 0.585
7 Ba 0.563 0.250 0.415
8 Ba 0.647 0.250 0.980
9 Ba 0.734 0.250 0.668
10 Ba 0.766 0.750 0.168
11 Ba 0.853 0.750 0.480
12 Ba 0.937 0.750 0.915
13 La 0.058 0.750 0.693
14 La 0.442 0.250 0.193
15 La 0.558 0.750 0.807
16 La 0.942 0.250 0.307
17 Cl 0.011 0.017 0.794
18 Cl 0.011 0.483 0.794
19 Cl 0.059 0.511 0.398
20 Cl 0.059 0.989 0.398
21 Cl 0.146 0.508 0.961
22 Cl 0.146 0.992 0.961
23 Cl 0.175 0.750 0.565
24 Cl 0.222 0.250 0.671
25 Cl 0.225 0.250 0.256
26 Cl 0.275 0.750 0.756
27 Cl 0.278 0.750 0.171
28 Cl 0.325 0.250 0.065
29 Cl 0.354 0.008 0.461
30 Cl 0.354 0.492 0.461
31 Cl 0.441 0.011 0.898
32 Cl 0.441 0.489 0.898
33 Cl 0.489 0.517 0.294
34 Cl 0.489 0.983 0.294
35 Cl 0.511 0.017 0.706
36 Cl 0.511 0.483 0.706
37 Cl 0.559 0.511 0.102
38 Cl 0.559 0.989 0.102
39 Cl 0.646 0.508 0.539
40 Cl 0.646 0.992 0.539
41 Cl 0.675 0.750 0.935
42 Cl 0.722 0.250 0.829
43 Cl 0.725 0.250 0.244
44 Cl 0.775 0.750 0.744
45 Cl 0.778 0.750 0.329
46 Cl 0.825 0.250 0.435
47 Cl 0.854 0.008 0.039
48 Cl 0.854 0.492 0.039
49 Cl 0.941 0.011 0.602
50 Cl 0.941 0.489 0.602
51 Cl 0.989 0.517 0.206
52 Cl 0.989 0.983 0.206

***

[7]
Entry from Alexandria: Ba2LaCl after structural relaxation (GGA-PBEsol).

* uncorrected formation energy: -0.635 eV/atom
* raw total energy: -3.55 eV/atom
* density: 4.68 g/cm³

a b c (Å): 3.961 3.961 11.366
angles (deg): 90.00 90.00 116.60
Atoms (fractional coordinates):
1 Ba 0.000 0.000 0.000
2 Ba 0.500 0.500 0.322
3 La 0.500 0.500 0.725
4 Cl 0.000 0.000 0.536

***

[8]
Entry from Alexandria: BaLa2Cl8 after structural relaxation (GGA-PBEsol).

* uncorrected formation energy: -2.423 eV/atom
* raw total energy: -5.05 eV/atom
* density: 4.04 g/cm³

a b c (Å): 7.673 7.673 5.398
angles (deg): 97.51 97.51 111.56
Atoms (fractional coordinates):
1 Ba 0.000 0.000 0.000
2 La 0.319 0.681 0.500
3 La 0.681 0.319 0.500
4 Cl 0.060 0.321 0.578
5 Cl 0.246 0.754 0.000
6 Cl 0.321 0.060 0.578
7 Cl 0.381 0.381 0.194
8 Cl 0.619 0.619 0.806
9 Cl 0.679 0.940 0.422
10 Cl 0.754 0.246 0.000
11 Cl 0.940 0.679 0.422

***

[9]
Entry from Alexandria: BaLa2Cl after structural relaxation (GGA-PBEsol).

* uncorrected formation energy: -0.022 eV/atom
* raw total energy: -3.73 eV/atom
* density: 5.53 g/cm³

a b c (Å): 5.764 5.764 5.764
angles (deg): 60.00 60.00 60.00
Atoms (fractional coordinates):
1 Ba 0.000 0.000 0.000
2 La 0.500 0.500 0.500
3 La 0.750 0.750 0.750
4 Cl 0.250 0.250 0.250

***

[10]
Entry from Alexandria: BaLa2Cl8 after structural relaxation (GGA-PBEsol).

* uncorrected formation energy: -2.355 eV/atom
* raw total energy: -4.98 eV/atom
* density: 3.63 g/cm³

a b c (Å): 9.783 9.783 9.783
angles (deg): 99.75 99.75 131.41
Atoms (fractional coordinates):
1 Ba 0.000 0.000 0.000
2 Ba 0.750 0.250 0.500
3 La 0.173 0.028 0.581
4 La 0.408 0.827 0.855
5 La 0.447 0.592 0.419
6 La 0.972 0.553 0.145
7 Cl 0.048 0.324 0.213
8 Cl 0.070 0.504 0.896
9 Cl 0.111 0.835 0.787
10 Cl 0.165 0.952 0.276
11 Cl 0.189 0.502 0.581
12 Cl 0.193 0.241 0.805
13 Cl 0.392 0.811 0.313
14 Cl 0.436 0.388 0.195
15 Cl 0.496 0.393 0.567
16 Cl 0.498 0.079 0.687
17 Cl 0.607 0.174 0.104
18 Cl 0.612 0.807 0.048
19 Cl 0.676 0.889 0.724
20 Cl 0.759 0.564 0.952
21 Cl 0.826 0.930 0.433
22 Cl 0.921 0.608 0.419

***

[11]
Entry from Alexandria: BaLa2Cl8 after structural relaxation (GGA-PBEsol).

* uncorrected formation energy: -2.389 eV/atom
* raw total energy: -5.02 eV/atom
* density: 3.15 g/cm³

a b c (Å): 10.560 10.560 9.163
angles (deg): 115.56 115.56 55.67
Atoms (fractional coordinates):
1 Ba 0.003 0.997 0.750
2 Ba 0.997 0.003 0.250
3 La 0.021 0.547 0.283
4 La 0.453 0.979 0.217
5 La 0.547 0.021 0.783
6 La 0.979 0.453 0.717
7 Cl 0.005 0.666 0.039
8 Cl 0.014 0.661 0.633
9 Cl 0.140 0.767 0.451
10 Cl 0.233 0.860 0.049
11 Cl 0.308 0.329 0.822
12 Cl 0.329 0.308 0.322
13 Cl 0.334 0.995 0.461
14 Cl 0.339 0.986 0.867
15 Cl 0.661 0.014 0.133
16 Cl 0.666 0.005 0.539
17 Cl 0.671 0.692 0.678
18 Cl 0.692 0.671 0.178
19 Cl 0.767 0.140 0.951
20 Cl 0.860 0.233 0.549
21 Cl 0.986 0.339 0.367
22 Cl 0.995 0.334 0.961

***

[12]
Entry from Alexandria: BaLaCl3 after structural relaxation (GGA-PBEsol).

* uncorrected formation energy: -1.682 eV/atom
* raw total energy: -4.39 eV/atom
* density: 3.80 g/cm³

a b c (Å): 5.507 5.507 5.507
angles (deg): 90.00 90.00 90.00
Atoms (fractional coordinates):
1 Ba 0.000 0.000 0.000
2 La 0.500 0.500 0.500
3 Cl 0.000 0.500 0.500
4 Cl 0.500 0.000 0.500
5 Cl 0.500 0.500 0.000

***

Question: Which formula does entry 4 have?
Answer: KBaP2Cl